(1)
Here is a relaxed structure of Ac4PrDy5 from Alexandria via LeMat-Bulk. Energies are from PBE.

Calculated values
SG = P4/mmm, No. 123
Fermi-level density of states = 14.8 states/eV per cell
calculated total energy = -4.37 eV per atom
calculated formation energy = 0.0499 eV/atom

Cell lengths 3.8220, 3.8220, 25.2405 Å; angles 90.00, 90.00, 90.00 degrees
Fractional coordinates of all 10 atoms:
Dy  0.5000  0.5000  0.2977
Dy  0.5000  0.5000  0.9055
Dy  0.5000  0.5000  0.5000
Dy  0.5000  0.5000  0.7023
Dy  0.5000  0.5000  0.0945
Ac  0.0000  0.0000  0.1967
Ac  0.0000  0.0000  0.6010
Ac  0.0000  0.0000  0.3990
Ac  0.0000  0.0000  0.8033
Pr  0.0000  0.0000  0.0000

(2)
Here is a relaxed structure of AcPr6Dy2 from Alexandria via LeMat-Bulk. Energies are from PBE.

Calculated values
SG = P-6m2, No. 187
Fermi-level density of states = 14.2 states/eV per cell
calculated total energy = -4.60 eV per atom
calculated formation energy = 0.0634 eV/atom
relative energy among the computed polymorphs = 0.26 kcal/mol of atoms

Cell lengths 3.7085, 3.7085, 27.6416 Å; angles 90.00, 90.00, 120.00 degrees
Fractional coordinates of all 9 atoms:
Ac  0.3333  0.6667  0.0000
Pr  0.6667  0.3333  0.8836
Pr  0.6667  0.3333  0.1164
Pr  0.3333  0.6667  0.5656
Pr  0.3333  0.6667  0.7741
Pr  0.3333  0.6667  0.4344
Pr  0.3333  0.6667  0.2259
Dy  0.6667  0.3333  0.6676
Dy  0.6667  0.3333  0.3324

(3)
Here is a relaxed structure of Ac2PrDy3 from Alexandria via LeMat-Bulk. Energies are from PBE.

Calculated values
SG = C2/c, No. 15
Fermi-level density of states = 15.5 states/eV per cell
calculated total energy = -4.33 eV per atom
calculated formation energy = 0.1407 eV/atom

Cell lengths 7.4884, 9.0817, 7.4682 Å; angles 101.86, 90.00, 114.35 degrees
Fractional coordinates of all 12 atoms:
Dy  0.1215  0.2379  0.5595
Dy  0.7165  0.0000  0.7500
Dy  0.8785  0.7621  0.4405
Dy  0.8836  0.7621  0.9405
Dy  0.1164  0.2379  0.0595
Dy  0.2835  0.0000  0.2500
Ac  0.6875  0.3650  0.5915
Ac  0.6774  0.3650  0.0915
Ac  0.3125  0.6350  0.4085
Ac  0.3226  0.6350  0.9085
Pr  0.2857  0.0000  0.7500
Pr  0.7143  0.0000  0.2500

What is the calculated formation energy in the third record? 0.1407 eV/atom